Here is a relaxed Ba2SF crystal from the Alexandria database. Energies are from PBE-GGA.

## Properties
The energy above the most stable polymorph in this dataset comes out at 0.91 eV/f.u. As for the crystal system: cubic.

Lattice parameters (Å, degrees): 5.2447 5.2447 5.2447 60.00 60.00 60.00
Fractional coordinates of all 4 atoms:
Ba: 0.2500 0.2500 0.2500
Ba: 0.7500 0.7500 0.7500
S: 0.0000 0.0000 0.0000
F: 0.5000 0.5000 0.5000

=====

Here is a relaxed SiBAuC crystal from the Alexandria database. Energies are from PBE-GGA.

## Properties
The energy above the most stable polymorph in this dataset comes out at 0.73 eV/f.u. As for the crystal system: triclinic.

Lattice parameters (Å, degrees): 3.0883 3.9762 5.2589 88.07 73.10 67.16
Fractional coordinates of all 4 atoms:
Si: 0.0000 0.0000 0.0000
B: 0.3218 0.4552 0.9014
Au: 0.0537 0.3149 0.5746
C: 0.3229 0.2120 0.1438

=====

Here is a relaxed V12Sn3Ge crystal from the Alexandria database. Energies are from PBE-GGA.

## Properties
The energy of formation from the pure elements comes out at -127 meV per atom. As for the crystal system: orthorhombic.

Lattice parameters (Å, degrees): 4.9061 4.9237 9.8047 90.00 90.00 90.00
Fractional coordinates of all 16 atoms:
V: 0.0000 0.0000 0.1190
V: 0.0000 0.0000 0.3736
V: 0.0000 0.0000 0.6264
V: 0.0000 0.0000 0.8810
V: 0.2480 0.5000 0.5000
V: 0.2658 0.5000 0.0000
V: 0.5000 0.2432 0.2402
V: 0.5000 0.2432 0.7598
V: 0.5000 0.7568 0.2402
V: 0.5000 0.7568 0.7598
V: 0.7342 0.5000 0.0000
V: 0.7520 0.5000 0.5000
Sn: 0.0000 0.5000 0.2486
Sn: 0.0000 0.5000 0.7514
Sn: 0.5000 0.0000 0.5000
Ge: 0.5000 0.0000 0.0000

=====

Calculated total energy (eV for the cell shown), listed in the same order as above: -18.2 -23.0 -128.1